This record from Alexandria via LeMat-Bulk describes crystalline Th3HgAu3 at its relaxed geometry. The functional is PBE-GGA.

It has space group Imm2 (No. 44), with a = 3.635 Å, b = 4.706 Å, c = 20.899 Å, α = 90.00°, β = 90.00° and γ = 90.00°. The inequivalent atoms are Th at (0.000, 0.000, 0.000), Th at (0.000, 0.000, 0.388), Th at (0.000, 0.500, 0.183), Hg at (0.000, 0.500, 0.759), Au at (0.000, 0.000, 0.545), Au at (0.000, 0.000, 0.840) and Au at (0.000, 0.500, 0.624).

As for the distance to the lowest polymorph of the same formula: 0 kJ/mol of formula units. The formation energy is -0.52 eV per atom. The electronic total energy comes out at -5.15 eV/atom.

This record from Alexandria via LeMat-Bulk describes crystalline LaScAu2Br at its relaxed geometry. The functional is PBE-GGA.

It has space group P4/mmm (No. 123), with a = 5.061 Å, b = 5.061 Å, c = 6.250 Å, α = 90.00°, β = 90.00° and γ = 90.00°. The inequivalent atoms are La at (0.000, 0.000, 0.000), Sc at (0.000, 0.000, 0.500), Au at (0.000, 0.500, 0.500) and Br at (0.500, 0.500, 0.000).

Its uncorrected formation energy is -0.31 eV/f.u. The electronic total energy comes out at -3.96 eV/atom.

This record from Alexandria via LeMat-Bulk describes crystalline Ga6RuPt3 at its relaxed geometry. The functional is PBE-GGA.

It has space group R-3 (No. 148, hexagonal axes), with a = 9.8008 Å, b = 9.8008 Å, c = 13.0540 Å, α = 90.00°, β = 90.00° and γ = 120.00°. The inequivalent atoms are Ga at (0.0275, 0.8397, 0.3543), Ga at (0.0565, 0.8441, 0.8845), Ru at (0.0000, 0.0000, 0.0000), Ru at (0.0000, 0.0000, 0.5000) and Pt at (0.0171, 0.5757, 0.8444).

The formation energy is -0.42 eV per atom. The electronic total energy comes out at -4.98 eV/atom.

This record from Alexandria via LeMat-Bulk describes crystalline Ac2C2O6F at its relaxed geometry. The functional is PBE-GGA.

It has space group P-1 (No. 2), with a = 4.955 Å, b = 5.656 Å, c = 6.676 Å, α = 82.83°, β = 72.05° and γ = 75.16°. The inequivalent atoms are Ac at (0.250, 0.232, 0.259), C at (0.156, 0.119, 0.748), O at (0.059, 0.334, 0.661), O at (0.239, 0.922, 0.626), O at (0.268, 0.099, 0.905) and F at (0.500, 0.500, 0.000).

Its uncorrected formation energy is -25.92 eV/f.u. The electronic total energy comes out at -7.66 eV/atom.

Question: Which of these has the highest electronic total energy?
Answer: LaScAu2Br